Material: CeYTeSe
Method: DFT, PBE
State: optimized geometry

Properties
raw formation energy = -1.49 eV/atom

```
data_CeYTeSe
_chemical_formula_sum 'Ce3 Y3 Te3 Se3'
_symmetry_space_group_name_H-M 'R 3 m'
_symmetry_Int_Tables_number 160
_symmetry_space_group_name_Hall 'R 3 -2"'
_cell_length_a 4.1220
_cell_length_b 4.1220
_cell_length_c 23.0994
_cell_angle_alpha 90.00
_cell_angle_beta 90.00
_cell_angle_gamma 120.00
loop_
_atom_site_label
_atom_site_type_symbol
_atom_site_fract_x
_atom_site_fract_y
_atom_site_fract_z
Ce1 Ce 0.0000 0.0000 0.0000
Y1 Y 0.0000 0.0000 0.1616
Te1 Te 0.0000 0.0000 0.5767
Se1 Se 0.0000 0.0000 0.7524
```

***

Material: Na2Sb5C2S2N2O3F9
Method: DFT, PBE
State: optimized geometry

Properties
raw formation energy = -1.56 eV/atom

```
data_Na2Sb5C2S2N2O3F9
_chemical_formula_sum 'Na4 Sb10 C4 S4 N4 O6 F18'
_symmetry_space_group_name_H-M 'P -1'
_symmetry_Int_Tables_number 2
_cell_length_a 7.209
_cell_length_b 9.533
_cell_length_c 13.778
_cell_angle_alpha 74.81
_cell_angle_beta 76.15
_cell_angle_gamma 83.16
loop_
_symmetry_equiv_pos_as_xyz
'x,y,z'
'-x,-y,-z'
loop_
_atom_site_label
_atom_site_type_symbol
_atom_site_fract_x
_atom_site_fract_y
_atom_site_fract_z
Na1 Na 0.123 0.307 0.048
Na2 Na 0.331 0.863 0.086
Sb1 Sb 0.051 0.418 0.767
Sb2 Sb 0.231 0.088 0.299
Sb3 Sb 0.304 0.039 0.778
Sb4 Sb 0.436 0.666 0.356
Sb5 Sb 0.437 0.641 0.887
C1 C 0.045 0.288 0.544
C2 C 0.264 0.726 0.634
S1 S 0.248 0.301 0.462
S2 S 0.252 0.898 0.582
N1 N 0.101 0.725 0.392
N2 N 0.278 0.598 0.672
O1 O 0.285 0.288 0.732
O2 O 0.436 0.886 0.306
O3 O 0.497 0.147 0.224
F1 F 0.035 0.771 0.127
F2 F 0.129 0.463 0.885
F3 F 0.159 0.294 0.216
F4 F 0.176 0.034 0.178
F5 F 0.188 0.763 0.906
F6 F 0.301 0.524 0.035
F7 F 0.367 0.050 0.911
F8 F 0.378 0.648 0.227
F9 F 0.467 0.259 0.025
```

***

Material: NaY3Te
Method: DFT, PBE
State: optimized geometry

Properties
raw formation energy = 0.01 eV/atom

```
data_NaY3Te
_chemical_formula_sum 'Na1 Y3 Te1'
_symmetry_space_group_name_H-M 'P m -3 m'
_symmetry_Int_Tables_number 221
_symmetry_space_group_name_Hall '-P 4 2 3'
_cell_length_a 5.770
_cell_length_b 5.770
_cell_length_c 5.770
_cell_angle_alpha 90.00
_cell_angle_beta 90.00
_cell_angle_gamma 90.00
loop_
_atom_site_label
_atom_site_type_symbol
_atom_site_fract_x
_atom_site_fract_y
_atom_site_fract_z
Na1 Na 0.000 0.000 0.000
Y1 Y 0.000 0.500 0.500
Te1 Te 0.500 0.500 0.500
```

***

Material: PIrCl
Method: DFT, PBE
State: optimized geometry

Properties
raw formation energy = 0.26 eV/atom

```
data_PIrCl
_chemical_formula_sum 'P4 Ir4 Cl4'
_symmetry_space_group_name_H-M 'F -4 3 m'
_symmetry_Int_Tables_number 216
_symmetry_space_group_name_Hall 'F -4 2 3'
_cell_length_a 5.927
_cell_length_b 5.927
_cell_length_c 5.927
_cell_angle_alpha 90.00
_cell_angle_beta 90.00
_cell_angle_gamma 90.00
loop_
_atom_site_label
_atom_site_type_symbol
_atom_site_fract_x
_atom_site_fract_y
_atom_site_fract_z
P1 P 0.000 0.000 0.000
Ir1 Ir 0.250 0.250 0.250
Cl1 Cl 0.000 0.000 0.500
```

***

Material: Re2AgHg
Method: DFT, PBE
State: optimized geometry

Properties
energy of formation from the pure elements = 154 kJ/mol of formula units

```
data_Re2AgHg
_chemical_formula_sum 'Re2 Ag1 Hg1'
_symmetry_space_group_name_H-M 'P 4 m m'
_symmetry_Int_Tables_number 99
_cell_length_a 2.974
_cell_length_b 2.974
_cell_length_c 8.017
_cell_angle_alpha 90.00
_cell_angle_beta 90.00
_cell_angle_gamma 90.00
loop_
_symmetry_equiv_pos_as_xyz
'x,y,z'
'-y,x,z'
'-x,-y,z'
'y,-x,z'
'-x,y,z'
'y,x,z'
'x,-y,z'
'-y,-x,z'
loop_
_atom_site_label
_atom_site_type_symbol
_atom_site_fract_x
_atom_site_fract_y
_atom_site_fract_z
Re1 Re 0.000 0.000 0.000
Re2 Re 0.500 0.500 0.180
Ag1 Ag 0.000 0.000 0.447
Hg1 Hg 0.500 0.500 0.722
```

***

Material: Tb3Pr4Ho8
Method: DFT, PBE
State: optimized geometry

Properties
energy of formation from the pure elements = 525 kJ/mol of formula units

```
data_Tb3Pr4Ho8
_chemical_formula_sum 'Tb6 Pr8 Ho16'
_symmetry_space_group_name_H-M 'C 1 2/m 1'
_symmetry_Int_Tables_number 12
_cell_length_a 13.453
_cell_length_b 12.865
_cell_length_c 6.775
_cell_angle_alpha 90.00
_cell_angle_beta 120.05
_cell_angle_gamma 90.00
loop_
_symmetry_equiv_pos_as_xyz
'x,y,z'
'-x,-y,-z'
'-x,y,-z'
'x,-y,z'
'x+1/2,y+1/2,z'
'-x+1/2,-y+1/2,-z'
'-x+1/2,y+1/2,-z'
'x+1/2,-y+1/2,z'
loop_
_atom_site_label
_atom_site_type_symbol
_atom_site_fract_x
_atom_site_fract_y
_atom_site_fract_z
Tb1 Tb 0.000 0.000 0.000
Tb2 Tb 0.250 0.250 0.500
Pr1 Pr 0.000 0.500 0.000
Pr2 Pr 0.000 0.500 0.500
Pr3 Pr 0.250 0.250 0.000
Ho1 Ho 0.000 0.138 0.500
Ho2 Ho 0.000 0.243 0.000
Ho3 Ho 0.229 0.000 0.963
Ho4 Ho 0.232 0.000 0.487
```

***

Material: CrRhCl2
Method: DFT, PBE
State: optimized geometry

Properties
raw formation energy = -0.03 eV/atom

```
data_CrRhCl2
_chemical_formula_sum 'Cr1 Rh1 Cl2'
_symmetry_space_group_name_H-M 'P 4 m m'
_symmetry_Int_Tables_number 99
_cell_length_a 2.889
_cell_length_b 2.889
_cell_length_c 8.248
_cell_angle_alpha 90.00
_cell_angle_beta 90.00
_cell_angle_gamma 90.00
loop_
_symmetry_equiv_pos_as_xyz
'x,y,z'
'-y,x,z'
'-x,-y,z'
'y,-x,z'
'-x,y,z'
'y,x,z'
'x,-y,z'
'-y,-x,z'
loop_
_atom_site_label
_atom_site_type_symbol
_atom_site_fract_x
_atom_site_fract_y
_atom_site_fract_z
Cr1 Cr 0.000 0.000 0.000
Rh1 Rh 0.500 0.500 0.191
Cl1 Cl 0.000 0.000 0.407
Cl2 Cl 0.500 0.500 0.821
```

***

Material: Zr4CdHg7
Method: DFT, PBE
State: optimized geometry

Properties
energy of formation from the pure elements = 128 kJ/mol of formula units

```
data_Zr4CdHg7
_chemical_formula_sum 'Zr8 Cd2 Hg14'
_symmetry_space_group_name_H-M 'C 1 2/m 1'
_symmetry_Int_Tables_number 12
_cell_length_a 12.575
_cell_length_b 5.212
_cell_length_c 10.574
_cell_angle_alpha 90.00
_cell_angle_beta 122.96
_cell_angle_gamma 90.00
loop_
_symmetry_equiv_pos_as_xyz
'x,y,z'
'-x,-y,-z'
'-x,y,-z'
'x,-y,z'
'x+1/2,y+1/2,z'
'-x+1/2,-y+1/2,-z'
'-x+1/2,y+1/2,-z'
'x+1/2,-y+1/2,z'
loop_
_atom_site_label
_atom_site_type_symbol
_atom_site_fract_x
_atom_site_fract_y
_atom_site_fract_z
Zr1 Zr 0.075 0.000 0.281
Zr2 Zr 0.218 0.000 0.828
Cd1 Cd 0.000 0.500 0.500
Hg1 Hg 0.000 0.000 0.500
Hg2 Hg 0.078 0.500 0.839
Hg3 Hg 0.138 0.000 0.054
Hg4 Hg 0.210 0.500 0.400
```

***

Material: LaMn2Br
Method: DFT, PBE
State: optimized geometry

Properties
raw formation energy = 0.30 eV/atom

```
data_LaMn2Br
_chemical_formula_sum 'La2 Mn4 Br2'
_symmetry_space_group_name_H-M 'C 1 2/m 1'
_symmetry_Int_Tables_number 12
_cell_length_a 11.078
_cell_length_b 3.313
_cell_length_c 5.254
_cell_angle_alpha 90.00
_cell_angle_beta 114.92
_cell_angle_gamma 90.00
loop_
_symmetry_equiv_pos_as_xyz
'x,y,z'
'-x,-y,-z'
'-x,y,-z'
'x,-y,z'
'x+1/2,y+1/2,z'
'-x+1/2,-y+1/2,-z'
'-x+1/2,y+1/2,-z'
'x+1/2,-y+1/2,z'
loop_
_atom_site_label
_atom_site_type_symbol
_atom_site_fract_x
_atom_site_fract_y
_atom_site_fract_z
La1 La 0.000 0.000 0.000
Mn1 Mn 0.229 0.000 0.864
Br1 Br 0.000 0.500 0.500
```

***

Material: Sr2AgPtN
Method: DFT, PBE
State: optimized geometry

Properties
raw formation energy = -0.52 eV/atom

```
data_Sr2AgPtN
_chemical_formula_sum 'Sr2 Ag1 Pt1 N1'
_symmetry_space_group_name_H-M 'P 4/m m m'
_symmetry_Int_Tables_number 123
_symmetry_space_group_name_Hall '-P 4 2'
_cell_length_a 5.474
_cell_length_b 5.474
_cell_length_c 3.877
_cell_angle_alpha 90.00
_cell_angle_beta 90.00
_cell_angle_gamma 90.00
loop_
_atom_site_label
_atom_site_type_symbol
_atom_site_fract_x
_atom_site_fract_y
_atom_site_fract_z
Sr1 Sr 0.000 0.500 0.000
Ag1 Ag 0.000 0.000 0.500
Pt1 Pt 0.500 0.500 0.500
N1 N 0.500 0.500 0.000
```

***

Material: ZrS2NCl
Method: DFT, PBE
State: optimized geometry

Properties
raw formation energy = 0.22 eV/atom

```
data_ZrS2NCl
_chemical_formula_sum 'Zr1 S2 N1 Cl1'
_symmetry_space_group_name_H-M 'P 4/m m m'
_symmetry_Int_Tables_number 123
_symmetry_space_group_name_Hall '-P 4 2'
_cell_length_a 5.095
_cell_length_b 5.095
_cell_length_c 4.262
_cell_angle_alpha 90.00
_cell_angle_beta 90.00
_cell_angle_gamma 90.00
loop_
_atom_site_label
_atom_site_type_symbol
_atom_site_fract_x
_atom_site_fract_y
_atom_site_fract_z
Zr1 Zr 0.000 0.000 0.000
S1 S 0.000 0.500 0.000
N1 N 0.000 0.000 0.500
Cl1 Cl 0.500 0.500 0.500
```

***

Material: Sm2PuGa3Ni4
Method: DFT, PBE
State: optimized geometry

Properties
energy of formation from the pure elements = -427 kJ/mol of formula units

```
data_Sm2PuGa3Ni4
_chemical_formula_sum 'Sm2 Pu1 Ga3 Ni4'
_symmetry_space_group_name_H-M 'P -4 m 2'
_symmetry_Int_Tables_number 115
_cell_length_a 4.251
_cell_length_b 4.251
_cell_length_c 10.060
_cell_angle_alpha 90.00
_cell_angle_beta 90.00
_cell_angle_gamma 90.00
loop_
_symmetry_equiv_pos_as_xyz
'x,y,z'
'y,-x,-z'
'-x,-y,z'
'-y,x,-z'
'-x,y,z'
'-y,-x,-z'
'x,-y,z'
'y,x,-z'
loop_
_atom_site_label
_atom_site_type_symbol
_atom_site_fract_x
_atom_site_fract_y
_atom_site_fract_z
Sm1 Sm 0.000 0.500 0.227
Pu1 Pu 0.000 0.000 0.500
Ga1 Ga 0.000 0.500 0.885
Ga2 Ga 0.500 0.500 0.500
Ni1 Ni 0.000 0.000 0.000
Ni2 Ni 0.000 0.500 0.649
Ni3 Ni 0.500 0.500 0.000
```